The following is a DFT calculation (PBE) of a relaxed Li2HfNbRh crystal.

```
data_Li2HfNbRh
_chemical_formula_sum 'Li2 Hf1 Nb1 Rh1'
_space_group_name_H-M_alt 'P 1'
_space_group_IT_number 1
_space_group_name_Hall 'P 1'
_cell_length_a 4.409
_cell_length_b 4.828
_cell_length_c 4.409
_cell_angle_alpha 90.00
_cell_angle_beta 90.00
_cell_angle_gamma 90.00
loop_
_atom_site_label
_atom_site_fract_x
_atom_site_fract_y
_atom_site_fract_z
Rh1 0.000 0.000 0.000
Nb1 0.000 0.500 0.000
Hf1 0.500 0.500 0.500
Li1 0.000 0.000 0.500
Li2 0.500 0.000 0.000
```

- Magnetization: 0.00 μB per formula unit
- Energy of formation: 0.52 eV/atom
- E: -5.723 eV/atom
- SG: P4/mmm

=====

The following is a DFT calculation (PBE) of a relaxed LiHfNbSb2 crystal.

```
data_LiHfNbSb2
_chemical_formula_sum 'Li1 Hf1 Nb1 Sb2'
_space_group_name_H-M_alt 'P 1'
_space_group_IT_number 1
_space_group_name_Hall 'P 1'
_cell_length_a 5.402
_cell_length_b 5.072
_cell_length_c 5.402
_cell_angle_alpha 90.00
_cell_angle_beta 90.00
_cell_angle_gamma 90.00
loop_
_atom_site_label
_atom_site_fract_x
_atom_site_fract_y
_atom_site_fract_z
Sb1 0.000 0.000 0.500
Sb2 0.500 0.000 0.000
Nb1 0.000 0.000 0.000
Hf1 0.000 0.500 0.000
Li1 0.500 0.500 0.500
```

- Magnetization: 0.00 μB per formula unit
- Uncorrected formation energy: 0.48 eV/atom
- E: -5.560 eV/atom
- SG: P4/mmm

=====

The following is a DFT calculation (PBE) of a relaxed LiHfThNb crystal.

```
data_LiHfThNb
_chemical_formula_sum 'Li1 Hf1 Th1 Nb1'
_space_group_name_H-M_alt 'P 1'
_space_group_IT_number 1
_space_group_name_Hall 'P 1'
_cell_length_a 4.967
_cell_length_b 4.967
_cell_length_c 4.967
_cell_angle_alpha 60.00
_cell_angle_beta 60.00
_cell_angle_gamma 60.00
loop_
_atom_site_label
_atom_site_fract_x
_atom_site_fract_y
_atom_site_fract_z
Nb1 0.250 0.250 0.250
Hf1 0.000 0.000 0.000
Th1 0.500 0.500 0.500
Li1 0.750 0.750 0.750
```

- Magnetization: 0.00 μB per formula unit
- Energy of formation: 0.12 eV/atom
- E: -7.218 eV/atom
- SG: F-43m